Entry 1:
Here is PrY2Cu6 after structural relaxation from Alexandria. Energies are from PBE.

extended XYZ file:
```
9
Lattice="7.3577 0.0000 0.0000 -3.6788 6.3719 0.0000 0.0000 0.0000 3.6825" Properties=species:S:1:pos:R:3 pbc="T T T"
Pr 0.0000 0.0000 0.0000
Y 0.0000 4.2480 0.0000
Y 3.6788 2.1240 0.0000
Cu -1.2355 2.1399 1.8413
Cu -2.4434 4.2320 1.8413
Cu 2.4710 0.0000 1.8413
Cu 1.2355 2.1399 1.8413
Cu 4.8867 0.0000 1.8413
Cu 2.4434 4.2320 1.8413
```

Values from the calculation:
theoretical density = 6.73 g/cm³
energy of formation from the pure elements = -0.23 eV per atom

Entry 2:
Here is BaSrTl2 after structural relaxation from Alexandria. Energies are from PBE.

extended XYZ file:
```
4
Lattice="4.1787 0.0000 0.0000 0.0000 4.1787 0.0000 0.0000 0.0000 8.4700" Properties=species:S:1:pos:R:3 pbc="T T T"
Ba 0.0000 0.0000 0.0000
Sr 0.0000 0.0000 4.2350
Tl 2.0893 2.0893 2.3208
Tl 2.0893 2.0893 6.1492
```

Values from the calculation:
theoretical density = 7.12 g/cm³
energy of formation from the pure elements = -0.43 eV per atom

Entry 3:
Here is Mn2FeCo after structural relaxation from Alexandria. Energies are from PBE.

extended XYZ file:
```
4
Lattice="2.7912 0.0000 0.0000 0.0000 4.0081 0.0000 0.0000 0.0000 4.0494" Properties=species:S:1:pos:R:3 pbc="T T T"
Mn 0.0000 0.0000 0.0000
Mn 1.3956 2.0041 0.0000
Fe 0.0000 2.0041 2.0247
Co 1.3956 0.0000 2.0247
```

Values from the calculation:
energy relative to the lowest polymorph listed for this composition = 99 meV/atom
theoretical density = 8.23 g/cm³
energy of formation from the pure elements = 0.11 eV per atom

Entry 4:
Here is BaCaHg2 after structural relaxation from Alexandria. Energies are from PBE.

extended XYZ file:
```
4
Lattice="4.0365 -4.0548 0.0000 4.0365 4.0548 0.0000 -0.0081 0.0000 3.9542" Properties=species:S:1:pos:R:3 pbc="T T T"
Ba 0.0000 0.0000 0.0000
Ca 4.0365 0.0000 0.0000
Hg 2.0142 2.0274 1.9771
Hg 2.0142 -2.0274 1.9771
```

Values from the calculation:
theoretical density = 7.42 g/cm³
energy of formation from the pure elements = -0.48 eV per atom

Entry 5:
Here is CeInCl after structural relaxation from Alexandria. Energies are from PBE.

extended XYZ file:
```
6
Lattice="3.6282 0.0000 0.0000 0.0000 3.6282 0.0000 0.0000 0.0000 12.3505" Properties=species:S:1:pos:R:3 pbc="T T T"
Ce 0.9071 0.9071 3.0325
Ce 2.7212 2.7212 9.3179
In 0.9071 0.9071 7.0487
In 2.7212 2.7212 5.3017
Cl 0.9071 0.9071 10.8408
Cl 2.7212 2.7212 1.5097
```

Values from the calculation:
theoretical density = 5.93 g/cm³
raw formation energy = -1.036 eV/atom

Entry 6:
Here is KSmMnN3 after structural relaxation from Alexandria. Energies are from PBE.

extended XYZ file:
```
12
Lattice="6.7026 -1.8532 0.0000 6.7026 1.8532 0.0000 -2.0567 0.0000 7.5439" Properties=species:S:1:pos:R:3 pbc="T T T"
K 1.6614 0.0000 0.5530
K 9.6872 0.0000 6.9909
Sm 0.9588 0.0000 4.3962
Sm 10.3898 0.0000 3.1477
Mn 5.2933 0.0000 5.0193
Mn 6.0553 0.0000 2.5246
N -0.5348 0.0000 2.5243
N 3.3392 0.0000 4.7424
N 4.5850 0.0000 1.6067
N 6.7635 0.0000 5.9372
N 8.0093 0.0000 2.8015
N 11.8833 0.0000 5.0196
```

Values from the calculation:
theoretical density = 5.08 g/cm³
raw formation energy = -0.366 eV/atom

Entry 7:
Here is ErVTc2 after structural relaxation from Alexandria. Energies are from PBE.

extended XYZ file:
```
4
Lattice="1.5333 0.8853 8.3237 -1.5333 0.8853 8.3237 0.0000 -1.7705 8.3237" Properties=species:S:1:pos:R:3 pbc="T T T"
Er 0.0000 0.0000 0.0000
V 0.0000 0.0000 12.4855
Tc 0.0000 0.0000 5.9751
Tc 0.0000 0.0000 18.9960
```

Values from the calculation:
energy relative to the lowest polymorph listed for this composition = 281 meV/atom
theoretical density = 10.15 g/cm³
energy of formation from the pure elements = 0.21 eV per atom

Entry 8:
Here is HfTiCo2H after structural relaxation from Alexandria. Energies are from PBE.

extended XYZ file:
```
5
Lattice="3.9433 0.0000 0.0000 0.0000 3.9433 0.0000 0.0000 0.0000 3.7792" Properties=species:S:1:pos:R:3 pbc="T T T"
Hf 0.0000 0.0000 0.0000
Ti 1.9716 1.9716 0.0000
Co 0.0000 1.9716 1.8896
Co 1.9716 0.0000 1.8896
H 1.9716 1.9716 1.8896
```

Values from the calculation:
theoretical density = 9.76 g/cm³
total DFT energy (no corrections) = -7.262 eV/atom

Entry 9:
Here is Na15SnHg4 after structural relaxation from Alexandria. Energies are from PBE.

extended XYZ file:
```
20
Lattice="4.9040 0.0000 0.0000 0.0000 4.9040 0.0000 0.0000 0.0000 24.1612" Properties=species:S:1:pos:R:3 pbc="T T T"
Na 0.0000 0.0000 0.0000
Na 0.0000 0.0000 4.8456
Na 0.0000 0.0000 9.6553
Na 0.0000 0.0000 14.5059
Na 0.0000 0.0000 19.3156
Na 0.0000 2.4520 2.3726
Na 0.0000 2.4520 7.2523
Na 0.0000 2.4520 12.0806
Na 0.0000 2.4520 16.9088
Na 0.0000 2.4520 21.7886
Na 2.4520 0.0000 2.3726
Na 2.4520 0.0000 7.2523
Na 2.4520 0.0000 12.0806
Na 2.4520 0.0000 16.9088
Na 2.4520 0.0000 21.7886
Sn 2.4520 2.4520 0.0000
Hg 2.4520 2.4520 4.8477
Hg 2.4520 2.4520 9.6660
Hg 2.4520 2.4520 14.4952
Hg 2.4520 2.4520 19.3135
```

Values from the calculation:
theoretical density = 3.62 g/cm³
energy of formation from the pure elements = -0.13 eV per atom

Entry 10:
Here is BaY2Al after structural relaxation from Alexandria. Energies are from PBE.

extended XYZ file:
```
4
Lattice="-2.6150 2.6150 4.5098 2.6150 -2.6150 4.5098 2.6150 2.6150 -4.5098" Properties=species:S:1:pos:R:3 pbc="T T T"
Ba 0.0000 0.0000 0.0000
Y 2.6150 0.0000 2.2549
Y 0.0000 2.6150 2.2549
Al 0.0000 0.0000 4.5098
```

Values from the calculation:
theoretical density = 4.61 g/cm³
energy of formation from the pure elements = 0.17 eV per atom

Entry 11:
Here is TaPd12Pt6 after structural relaxation from Alexandria. Energies are from PBE.

extended XYZ file:
```
19
Lattice="4.7883 2.7645 3.8794 -4.7883 2.7645 3.8794 0.0000 -5.5290 3.8794" Properties=species:S:1:pos:R:3 pbc="T T T"
Ta 0.0000 0.0000 0.0000
Pd -1.6065 0.2657 2.2161
Pd 0.5731 -1.5241 2.2161
Pd -1.8075 -0.5395 4.8310
Pd 1.0334 1.2584 2.2161
Pd -0.4366 -1.8351 6.8073
Pd 1.3709 -1.2956 4.8310
Pd -1.3709 1.2956 6.8073
Pd 0.4366 1.8351 4.8310
Pd -1.0333 -1.2584 9.4222
Pd 1.8075 0.5395 6.8073
Pd -0.5731 1.5241 9.4222
Pd 1.6065 -0.2657 9.4222
Pt -0.6732 -2.9779 4.2918
Pt -2.2424 2.0720 4.2918
Pt -2.9156 -0.9060 7.3465
Pt 2.9156 0.9060 4.2918
Pt 2.2424 -2.0719 7.3465
Pt 0.6732 2.9779 7.3465
```

Values from the calculation:
theoretical density = 14.17 g/cm³
energy of formation from the pure elements = -0.08 eV per atom

Entry 12:
Here is NbAlSe2N after structural relaxation from Alexandria. Energies are from PBE.

extended XYZ file:
```
5
Lattice="5.2034 0.0000 0.0000 0.0000 5.2034 0.0000 0.0000 0.0000 3.9015" Properties=species:S:1:pos:R:3 pbc="T T T"
Nb 0.0000 0.0000 0.0000
Al 2.6017 2.6017 1.9507
Se 0.0000 2.6017 0.0000
Se 2.6017 0.0000 0.0000
N 0.0000 0.0000 1.9507
```

Values from the calculation:
energy relative to the lowest polymorph listed for this composition = 0 meV/atom
theoretical density = 4.59 g/cm³
raw formation energy = 0.003 eV/atom

Entry 13:
Here is BeTeRu2 after structural relaxation from Alexandria. Energies are from PBE.

extended XYZ file:
```
4
Lattice="0.0000 3.0503 3.0503 3.0503 0.0000 3.0503 3.0503 3.0503 0.0000" Properties=species:S:1:pos:R:3 pbc="T T T"
Be 0.0000 0.0000 0.0000
Te 3.0503 3.0503 3.0503
Ru 1.5252 1.5252 1.5252
Ru 4.5755 4.5755 4.5755
```

Values from the calculation:
energy relative to the lowest polymorph listed for this composition = 0 meV/atom
theoretical density = 9.91 g/cm³
raw formation energy = 0.032 eV/atom

Entry 14:
Here is As2RhPbSe after structural relaxation from Alexandria. Energies are from PBE.

extended XYZ file:
```
5
Lattice="4.7168 0.0000 0.0000 0.0000 4.7168 0.0000 0.0000 0.0000 5.5011" Properties=species:S:1:pos:R:3 pbc="T T T"
As 0.0000 2.3584 0.0000
As 2.3584 0.0000 0.0000
Rh 0.0000 0.0000 0.0000
Pb 2.3584 2.3584 2.7506
Se 0.0000 0.0000 2.7506
```

Values from the calculation:
energy relative to the lowest polymorph listed for this composition = 0 meV/atom
theoretical density = 7.31 g/cm³
raw formation energy = 0.168 eV/atom

Entry 15:
Here is CaGe2W after structural relaxation from Alexandria. Energies are from PBE.

extended XYZ file:
```
8
Lattice="-2.5650 2.5650 8.2396 2.5650 -2.5650 8.2396 2.5650 2.5650 -8.2396" Properties=species:S:1:pos:R:3 pbc="T T T"
Ca 0.0000 0.0000 0.0000
Ca 0.0000 2.5650 4.1198
Ge 1.2825 -0.2617 6.1797
Ge 2.3032 1.2825 2.0599
Ge 1.2825 2.8267 -2.0599
Ge 0.2617 1.2825 10.2995
W 2.5650 0.0000 4.1198
W 0.0000 0.0000 8.2396
```

Values from the calculation:
energy relative to the lowest polymorph listed for this composition = 85 meV/atom
theoretical density = 5.65 g/cm³
energy of formation from the pure elements = 0.34 eV per atom

Entry 16:
Here is TiVC after structural relaxation from Alexandria. Energies are from PBE.

extended XYZ file:
```
12
Lattice="5.0990 0.0000 0.0000 0.0000 3.0360 0.0000 0.0000 0.0000 9.3417" Properties=species:S:1:pos:R:3 pbc="T T T"
Ti 0.4298 0.7590 1.2016
Ti 2.1197 2.2770 5.8725
Ti 2.9793 0.7590 3.4692
Ti 4.6692 2.2770 8.1401
V 0.4143 2.2770 3.5854
V 2.1352 0.7590 8.2563
V 2.9638 2.2770 1.0854
V 4.6847 0.7590 5.7563
C 1.2469 0.7590 4.6448
C 1.3026 2.2770 9.3157
C 3.7965 0.7590 0.0260
C 3.8521 2.2770 4.6969
```

Values from the calculation:
energy relative to the lowest polymorph listed for this composition = 5 meV/atom
theoretical density = 5.09 g/cm³
energy of formation from the pure elements = -0.53 eV per atom

Entry 17:
Here is BeHg2Ge after structural relaxation from Alexandria. Energies are from PBE.

extended XYZ file:
```
8
Lattice="-2.2099 2.2099 8.5308 2.2099 -2.2099 8.5308 2.2099 2.2099 -8.5308" Properties=species:S:1:pos:R:3 pbc="T T T"
Be 0.0000 0.0000 0.0000
Be 0.0000 2.2099 4.2654
Hg 3.3149 0.9580 -2.1327
Hg 0.9580 1.1050 2.1327
Hg -1.1050 1.2519 6.3981
Hg 1.2519 1.1050 10.6635
Ge 2.2099 0.0000 4.2654
Ge 0.0000 0.0000 8.5308
```

Values from the calculation:
energy relative to the lowest polymorph listed for this composition = 0 meV/atom
theoretical density = 9.62 g/cm³
energy of formation from the pure elements = 0.48 eV per atom

Entry 18:
Here is Al2OsW after structural relaxation from Alexandria. Energies are from PBE.

extended XYZ file:
```
8
Lattice="-3.4852 3.4852 2.6733 3.4852 -3.4852 2.6733 3.4852 3.4852 -2.6733" Properties=species:S:1:pos:R:3 pbc="T T T"
Al 1.7426 1.5922 -0.6683
Al 1.8930 -1.7426 3.3416
Al 1.7426 1.8930 2.0050
Al 1.5922 5.2277 0.6683
Os 0.0000 0.0000 0.0000
Os 0.0000 3.4852 1.3366
W 3.4852 0.0000 1.3366
W 0.0000 0.0000 2.6733
```

Values from the calculation:
energy relative to the lowest polymorph listed for this composition = 820 meV/atom
theoretical density = 10.94 g/cm³
energy of formation from the pure elements = 0.56 eV per atom

Entry 19:
Here is Pr4CdIr2 after structural relaxation from Alexandria. Energies are from PBE.

extended XYZ file:
```
14
Lattice="-4.6327 4.6327 4.5083 4.6327 -4.6327 4.5083 4.6327 4.6327 -4.5083" Properties=species:S:1:pos:R:3 pbc="T T T"
Pr 2.9854 -0.6387 0.7096
Pr 6.2800 0.6387 0.7096
Pr 3.9940 2.9854 -1.5445
Pr 5.2714 -1.6473 3.7987
Pr 0.6387 1.6473 2.9638
Pr 3.9940 1.6473 3.7987
Pr 1.6473 -0.6387 6.0528
Pr 2.9854 5.2714 1.5445
Cd 0.0000 0.0000 0.0000
Cd 0.0000 4.6327 2.2542
Ir 2.3164 -1.2446 3.3812
Ir 3.3881 2.3164 1.1271
Ir 2.3164 5.8773 -1.1271
Ir 1.2446 2.3164 5.6354
```

Values from the calculation:
energy relative to the lowest polymorph listed for this composition = 40 meV/atom
theoretical density = 9.10 g/cm³
energy of formation from the pure elements = -0.41 eV per atom

Entry 20:
Here is SmHfZr2N4 after structural relaxation from Alexandria. Energies are from PBE.

extended XYZ file:
```
8
Lattice="5.7435 0.0000 0.0000 0.0000 3.3020 0.0000 -1.8980 0.0000 5.4752" Properties=species:S:1:pos:R:3 pbc="T T T"
Sm 0.0000 0.0000 0.0000
Hf -0.9490 1.6510 2.7376
Zr 1.9228 0.0000 2.7376
Zr 2.8718 1.6510 0.0000
N 0.0364 0.0000 4.0040
N 0.9836 1.6510 1.5004
N 2.8619 1.6510 3.9748
N 3.8091 0.0000 1.4712
```

Values from the calculation:
theoretical density = 9.07 g/cm³
raw formation energy = -1.631 eV/atom

Number 1: Fermi-level density of states 5.1 states/eV per cell. Number 2: Fermi-level density of states 2.1 states/eV per cell. Number 3: Fermi-level density of states 5.2 states/eV per cell. Number 4: Fermi-level density of states 3.3 states/eV per cell. Number 5: Fermi-level density of states 13.3 states/eV per cell. Number 6: Fermi-level density of states 4.2 states/eV per cell. Number 7: Fermi-level density of states 4.5 states/eV per cell. Number 8: Fermi-level density of states 3.7 states/eV per cell. Number 9: Fermi-level density of states 7.9 states/eV per cell. Number 10: Fermi-level density of states 7.2 states/eV per cell. Number 11: Fermi-level density of states 31.0 states/eV per cell. Number 12: Fermi-level density of states 2.5 states/eV per cell. Number 13: Fermi-level density of states 0.3 states/eV per cell. Number 14: Fermi-level density of states 3.4 states/eV per cell. Number 15: Fermi-level density of states 3.4 states/eV per cell. Number 16: Fermi-level density of states 8.4 states/eV per cell. Number 17: Fermi-level density of states 2.9 states/eV per cell. Number 18: Fermi-level density of states 6.9 states/eV per cell. Number 19: Fermi-level density of states 13.7 states/eV per cell. Number 20: Fermi-level density of states 1.4 states/eV per cell.